(1)
This record from the Alexandria database describes a relaxed structure of PaP2Rh. The functional is PBE-GGA.

## Properties
The value obtained for the formation energy is -902 meV/atom. The calculation puts the raw total energy at -7.818 eV/atom.

Cell lengths 3.9162, 3.9162, 5.7645 Å; angles 70.14, 70.14, 60.00 degrees
Closest atoms and distances in Å follow each position.
Element x y z (fractional)
P 0.2647 0.2647 0.2058  3 Rh 2.51, 3 Pa 2.75
P 0.7353 0.7353 0.7942  3 Rh 2.51, 3 Pa 2.75
Rh 0.0000 0.0000 0.0000  6 P 2.51
Pa 0.5000 0.5000 0.5000  6 P 2.75

(2)
This record from the Alexandria database describes a relaxed structure of Pa2P4Rh3. The functional is PBE-GGA.

## Properties
The value obtained for the formation energy is -944 meV/atom. The calculation puts the raw total energy at -7.910 eV/atom.

Cell lengths 5.6377, 7.2167, 7.7153 Å; angles 90.00, 111.43, 90.00 degrees
Closest atoms and distances in Å follow each position.
Element x y z (fractional)
Pa 0.3856 0.0807 0.7713  8 P 2.90-3.07, 4 Rh 3.09-3.14
Pa 0.8856 0.4193 0.7713  8 P 2.90-3.07, 4 Rh 3.09-3.14
Pa 0.6144 0.9193 0.2287  8 P 2.90-3.07, 4 Rh 3.09-3.14
Pa 0.1144 0.5807 0.2287  8 P 2.90-3.07, 4 Rh 3.09-3.14
P 0.2072 0.7500 0.9144  3 Rh 2.37-2.40
P 0.3194 0.4598 0.6389  5 Rh 2.56-2.61
P 0.7928 0.2500 0.0856  3 Rh 2.37-2.40
P 0.8194 0.0402 0.6389  5 Rh 2.56-2.61
P 0.1806 0.9598 0.3611  5 Rh 2.56-2.61
P 0.2928 0.2500 0.0856  3 Rh 2.37-2.40
P 0.6806 0.5402 0.3611  5 Rh 2.56-2.61
P 0.7072 0.7500 0.9144  3 Rh 2.37-2.40
Rh 0.0000 0.0000 0.0000  6 P 2.37-2.61
Rh 0.0401 0.7500 0.5801  5 P 2.40-2.60
Rh 0.5000 0.5000 0.0000  6 P 2.37-2.61
Rh 0.9599 0.2500 0.4199  5 P 2.40-2.60
Rh 0.4599 0.2500 0.4199  5 P 2.40-2.60
Rh 0.5401 0.7500 0.5801  5 P 2.40-2.60

(3)
This record from the Alexandria database describes a relaxed structure of PaPRuRh. The functional is PBE-GGA.

## Properties
The value obtained for the formation energy is -374 meV/atom. The calculation puts the raw total energy at -8.257 eV/atom.

Cell lengths 3.6407, 4.5228, 4.6474 Å; angles 90.00, 90.00, 90.00 degrees
Closest atoms and distances in Å follow each position.
Element x y z (fractional)
P 0.0000 0.0000 0.0000  2 Rh 2.26, 2 Ru 2.32
Pa 0.5000 0.5000 0.5000  4 Ru 2.90, 4 Rh 2.95
Ru 0.0000 0.0000 0.5000  2 P 2.32
Rh 0.0000 0.5000 0.0000  2 P 2.26

(4)
This record from the Alexandria database describes a relaxed structure of Pa2P4Ru3Rh. The functional is PBE-GGA.

## Properties
The value obtained for the formation energy is -976 meV/atom. The calculation puts the raw total energy at -8.557 eV/atom.

Cell lengths 4.1362, 4.1362, 9.3867 Å; angles 90.00, 90.00, 90.00 degrees
Closest atoms and distances in Å follow each position.
Element x y z (fractional)
P 0.0000 0.0000 0.0000  4 Ru 2.33
P 0.5000 0.0000 0.6390  3 Ru 2.31-2.45, 2 Rh 2.45
P 0.0000 0.5000 0.3610  3 Ru 2.31-2.45, 2 Rh 2.45
P 0.5000 0.5000 0.0000  4 Ru 2.33
Ru 0.0000 0.0000 0.5000  4 P 2.45
Ru 0.0000 0.5000 0.1154  5 P 2.31-2.33
Ru 0.5000 0.0000 0.8846  5 P 2.31-2.33
Rh 0.5000 0.5000 0.5000  4 P 2.45
Pa 0.0000 0.5000 0.7588  8 P 3.07-3.13, 7 Ru 3.15-3.35, 2 Rh 3.19
Pa 0.5000 0.0000 0.2412  8 P 3.07-3.13, 7 Ru 3.15-3.35, 2 Rh 3.19

(5)
This record from the Alexandria database describes a relaxed structure of Pa2P4RuRh3. The functional is PBE-GGA.

## Properties
The value obtained for the formation energy is -984 meV/atom. The calculation puts the raw total energy at -8.180 eV/atom.

Cell lengths 4.1464, 4.1464, 9.4033 Å; angles 90.00, 90.00, 90.00 degrees
Closest atoms and distances in Å follow each position.
Element x y z (fractional)
Rh 0.5000 0.0000 0.8843  5 P 2.33-2.34
Rh 0.0000 0.0000 0.5000  4 P 2.44
Rh 0.0000 0.5000 0.1157  5 P 2.33-2.34
P 0.0000 0.0000 0.0000  4 Rh 2.34
P 0.5000 0.0000 0.6364  3 Rh 2.33-2.44, 2 Ru 2.44
P 0.0000 0.5000 0.3636  3 Rh 2.33-2.44, 2 Ru 2.44
P 0.5000 0.5000 0.0000  4 Rh 2.34
Pa 0.5000 0.0000 0.2441  8 P 3.09-3.14, 7 Rh 3.17-3.38, 2 Ru 3.18
Pa 0.0000 0.5000 0.7559  8 P 3.09-3.14, 7 Rh 3.17-3.38, 2 Ru 3.18
Ru 0.5000 0.5000 0.5000  4 P 2.44

(6)
This record from the Alexandria database describes a relaxed structure of Pa4PRhS2. The functional is PBE-GGA.

## Properties
Its formation energy without anion corrections is -1226 meV per atom. The calculation puts the raw total energy at -8.601 eV/atom.

Cell lengths 3.8023, 6.8775, 7.0059 Å; angles 72.02, 90.00, 90.00 degrees
Closest atoms and distances in Å follow each position.
Element x y z (fractional)
Pa 0.5000 0.7516 0.2509  3 S 2.79, 2 P 2.79, 1 Rh 2.82
Pa 0.0000 0.2515 0.2484  2 Rh 2.78, 3 S 2.80-2.81, 1 P 2.81
Pa 0.0000 0.7485 0.7516  2 Rh 2.78, 3 S 2.80-2.81, 1 P 2.81
Pa 0.5000 0.2484 0.7491  3 S 2.79, 2 P 2.79, 1 Rh 2.82
S 0.5000 0.0000 0.5000  6 Pa 2.79-2.80
S 0.0000 0.0000 0.0000  6 Pa 2.79-2.81
Rh 0.5000 0.5000 0.0000  6 Pa 2.78-2.82
P 0.0000 0.5000 0.5000  6 Pa 2.79-2.81